No. 1
This record from the Open Quantum Materials Database describes an optimized crystal structure of Ba3SiIr4. The functional is PBE-GGA.

## Properties
E   -5.840 eV per atom
Space group   Pm
Spin magnetization   0.3 μB/f.u.

Cell lengths 7.3292, 4.4582, 7.3888 Å; angles 90.00, 99.36, 90.00 degrees
Element x y z (fractional)
Ba1 0.0000 0.0000 0.0000
Ba2 0.0263 0.5000 0.5254
Ba3 0.5137 0.0000 0.2554
Si1 0.6599 0.5000 0.7747
Ir1 0.3690 0.5000 0.8868
Ir2 0.3824 0.0000 0.7666
Ir3 0.7006 0.0000 0.6566
Ir4 0.7339 0.5000 0.0950

=====

No. 2
This record from the Open Quantum Materials Database describes an optimized crystal structure of PaMoIr. The functional is PBE-GGA.

## Properties
DFT formation energy   0.5 eV/f.u.
E   -9.578 eV per atom
Space group   F-43m
Spin magnetization   0.0 μB/f.u.
Energy relative to the lowest polymorph listed for this composition   0.000 eV per atom

Cell lengths 4.4482, 4.4482, 4.4482 Å; angles 60.00, 60.00, 60.00 degrees
Element x y z (fractional)
Pa1 0.0000 0.0000 0.0000
Mo1 0.7500 0.7500 0.7500
Ir1 0.5000 0.5000 0.5000

=====

No. 3
This record from the Open Quantum Materials Database describes an optimized crystal structure of K2AgOsBr6. The functional is PBE-GGA.

## Properties
E   -3.321 eV per atom
Space group   Fm-3m
Spin magnetization   1.0 μB/f.u.

Cell lengths 7.5594, 7.5594, 7.5594 Å; angles 60.00, 60.00, 60.00 degrees
Element x y z (fractional)
K1 0.2500 0.2500 0.2500
K2 0.7500 0.7500 0.7500
Ag1 0.0000 0.0000 0.0000
Os1 0.5000 0.5000 0.5000
Br1 0.2629 0.2629 0.7371
Br2 0.2629 0.7371 0.2629
Br3 0.2629 0.7371 0.7371
Br4 0.7371 0.2629 0.2629
Br5 0.7371 0.2629 0.7371
Br6 0.7371 0.7371 0.2629

=====

No. 4
This record from the Open Quantum Materials Database describes an optimized crystal structure of TlAgS. The functional is PBE-GGA.

## Properties
E   -3.315 eV per atom
Space group   Pnma

Cell lengths 9.1925, 4.4023, 7.4508 Å; angles 90.00, 90.00, 90.00 degrees
Element x y z (fractional)
Tl1 0.0007 0.2500 0.2402
Tl2 0.4993 0.7500 0.7402
Tl3 0.5007 0.2500 0.2598
Tl4 0.9993 0.7500 0.7598
Ag1 0.2420 0.2500 0.5793
Ag2 0.2580 0.7500 0.0793
Ag3 0.7420 0.2500 0.9207
Ag4 0.7580 0.7500 0.4207
S1 0.2179 0.7500 0.4150
S2 0.2821 0.2500 0.9150
S3 0.7179 0.7500 0.0850
S4 0.7821 0.2500 0.5850

=====

- Among the records above, which one has the lowest E?
  PaMoIr

=====

- Look up the E of the fourth one.
  -3.315 eV per atom